DFT (PBE-GGA) results for a relaxed structure of CdPb2O4.

Values from the calculation:
calculated volume = 15.92 Å³ per atom
electronic total energy = -4.759 eV/atom
formation energy from raw total energies = -0.74 eV/atom
space-group type = Cccm (66)

```
data_CdPb2O4
_cell_length_a 5.486
_cell_length_b 5.486
_cell_length_c 7.921
_cell_angle_alpha 90.00
_cell_angle_beta 90.00
_cell_angle_gamma 110.83
_symmetry_space_group_name_H-M 'P 1'
_symmetry_Int_Tables_number 1
_symmetry_space_group_name_Hall 'P 1'
loop_
_atom_site_label
_atom_site_fract_x
_atom_site_fract_y
_atom_site_fract_z
Cd1 0.000 0.000 0.250
Cd2 0.000 0.000 0.750
Pb1 0.323 0.676 0.000
Pb2 0.324 0.677 0.500
Pb3 0.676 0.323 0.500
Pb4 0.677 0.324 0.000
O1 0.000 0.500 0.315
O2 0.000 0.500 0.685
O3 0.042 0.249 0.000
O4 0.249 0.042 0.500
O5 0.500 0.000 0.185
O6 0.500 0.000 0.815
O7 0.751 0.958 0.500
O8 0.958 0.751 0.000
```

---

DFT (PBE-GGA) results for a relaxed structure of CdPbO3.

Values from the calculation:
calculated volume = 14.41 Å³ per atom
electronic total energy = -4.231 eV/atom
formation energy from raw total energies = -0.33 eV/atom
space-group type = Pm-3m (221)

```
data_CdPbO3
_cell_length_a 4.161
_cell_length_b 4.161
_cell_length_c 4.161
_cell_angle_alpha 90.00
_cell_angle_beta 90.00
_cell_angle_gamma 90.00
_symmetry_space_group_name_H-M 'P 1'
_symmetry_Int_Tables_number 1
_symmetry_space_group_name_Hall 'P 1'
loop_
_atom_site_label
_atom_site_fract_x
_atom_site_fract_y
_atom_site_fract_z
Cd1 0.000 0.000 0.000
Pb1 0.500 0.500 0.500
O1 0.000 0.000 0.500
O2 0.000 0.500 0.000
O3 0.500 0.000 0.000
```